{
  "formula": "ScSeBr2Cl",
  "functional": "PBE-GGA",
  "state": "relaxed",
  "space_group": "P4/mmm, No. 123",
  "raw_formation_energy_ev_per_atom": 0.261,
  "total_energy_ev_per_cell": -13.7,
  "crystal_system": "tetragonal",
  "relative_energy_ev_per_atom": 0.983,
  "lattice_angstrom": [[-4.656, 1.806, 0.117], [-1.725, -4.525, 1.223], [0.627, 1.259, 5.543]],
  "species": ["Br", "Br", "Sc", "Cl", "Se"],
  "frac_coords": [[0.000, 0.500, 0.000], [0.500, 0.000, 0.000], [0.500, 0.500, 0.500], [0.000, 0.000, 0.000], [0.000, 0.000, 0.500]]
}